First-principles (PBE) data for a relaxed Mo2IrW crystal, as listed in the Alexandria database.

- excess energy over the best structure of this formula in the dataset (meV per atom) = 187
- SG = Fm-3m, No. 225
- magnetic moment (μB/cell) = 0.00

abc: 4.464 4.464 4.464
angles: 60.00 60.00 60.00
Positions (direct):
Mo1 0.250 0.250 0.250
Mo2 0.750 0.750 0.750
Ir1 0.000 0.000 0.000
W1 0.500 0.500 0.500